LaReSe2: relaxed, PBE. Values from VASP.

Properties
Calculated volume ... 23.97 Å³/atom
Crystal system ... monoclinic
Formation energy from raw total energies ... -499.2 meV/atom
Final energy ... -26.34 eV/cell
Density ... 8.367 Mg/m³
Space group ... Pm, No. 6
ΔE to the lowest computed polymorph ... 220 meV per atom

```
&SYSTEM
  ibrav = 0, nat = 4, ntyp = 3
/
ATOMIC_SPECIES
La 138.91 La.upf
Re 186.21 Re.upf
Se 78.96 Se.upf
ATOMIC_POSITIONS angstrom
La 0.0000 0.0000 0.0000
Re 1.8969 2.2745 1.7121
Se 0.0069 2.2745 4.7629
Se 1.8966 0.0000 2.4702
CELL_PARAMETERS angstrom
3.7952 0.0000 0.0000
0.0000 4.5489 0.0000
-1.8909 0.0000 5.5526
```